Entry 1:
Entry from the Alexandria database: a relaxed ZrScAg crystal (PBE).

Values from the calculation:
Formation enthalpy at 0 K ... -0.4 eV per formula unit
Space-group type ... No. 65

Unit cell a=6.593 b=6.593 c=4.568 alpha=90.00 beta=90.00 gamma=139.67
Fractional coordinates of all 6 atoms:
Zr 0.167 0.833 0.000
Zr 0.833 0.167 0.000
Sc 0.341 0.659 0.500
Sc 0.659 0.341 0.500
Ag 0.000 0.000 0.500
Ag 0.500 0.500 0.000

=====

Entry 2:
Entry from the Alexandria database: a relaxed ZrScAg4 crystal (PBE).

Values from the calculation:
Formation enthalpy at 0 K ... 0.3 eV per formula unit
Space-group type ... No. 216

Unit cell a=5.534 b=5.534 c=5.534 alpha=60.00 beta=60.00 gamma=60.00
Fractional coordinates of all 6 atoms:
Zr 0.000 0.000 0.000
Sc 0.250 0.250 0.250
Ag 0.125 0.625 0.625
Ag 0.625 0.125 0.625
Ag 0.625 0.625 0.125
Ag 0.625 0.625 0.625

=====

Entry 3:
Entry from the Alexandria database: a relaxed Zr2Sc3Ag crystal (PBE).

Values from the calculation:
Formation enthalpy at 0 K ... -0.6 eV per formula unit
Space-group type ... No. 123

Unit cell a=3.234 b=3.234 c=12.840 alpha=90.00 beta=90.00 gamma=90.00
Fractional coordinates of all 6 atoms:
Zr 0.000 0.000 0.178
Zr 0.000 0.000 0.822
Sc 0.500 0.500 0.000
Sc 0.500 0.500 0.349
Sc 0.500 0.500 0.651
Ag 0.000 0.000 0.500

=====

Entry 4:
Entry from the Alexandria database: a relaxed Zr2ScAg crystal (PBE).

Values from the calculation:
Formation enthalpy at 0 K ... 0.0 eV per formula unit
Space-group type ... No. 139

Unit cell a=5.641 b=5.641 c=5.641 alpha=135.86 beta=135.86 gamma=64.20
Fractional coordinates of all 4 atoms:
Zr 0.250 0.750 0.500
Zr 0.750 0.250 0.500
Sc 0.000 0.000 0.000
Ag 0.500 0.500 0.000

=====

Entry 5:
Entry from the Alexandria database: a relaxed Zr2ScAg6 crystal (PBE).

Values from the calculation:
Formation enthalpy at 0 K ... -0.7 eV per formula unit
Space-group type ... No. 166

Unit cell a=5.604 b=5.604 c=5.604 alpha=95.66 beta=95.66 gamma=95.66
Fractional coordinates of all 9 atoms:
Zr 0.160 0.160 0.160
Zr 0.840 0.840 0.840
Sc 0.500 0.500 0.500
Ag 0.000 0.334 0.666
Ag 0.000 0.666 0.334
Ag 0.334 0.000 0.666
Ag 0.334 0.666 0.000
Ag 0.666 0.000 0.334
Ag 0.666 0.334 0.000

=====

Entry 6:
Entry from the Alexandria database: a relaxed Zr3ScAg crystal (PBE).

Values from the calculation:
Formation enthalpy at 0 K ... 4.2 eV per formula unit
Space-group type ... No. 221

Unit cell a=5.169 b=5.169 c=5.169 alpha=90.00 beta=90.00 gamma=90.00
Fractional coordinates of all 5 atoms:
Zr 0.000 0.000 0.500
Zr 0.000 0.500 0.000
Zr 0.500 0.000 0.000
Sc 0.500 0.500 0.500
Ag 0.000 0.000 0.000

=====

Entry 7:
Entry from the Alexandria database: a relaxed ZrSc2Ag crystal (PBE).

Values from the calculation:
Formation enthalpy at 0 K ... 0.0 eV per formula unit
Space-group type ... No. 25

Unit cell a=3.374 b=4.115 c=6.327 alpha=90.00 beta=90.00 gamma=90.00
Fractional coordinates of all 4 atoms:
Zr 0.000 0.000 0.000
Sc 0.000 0.000 0.495
Sc 0.500 0.500 0.763
Ag 0.500 0.500 0.256

=====

Entry 8:
Entry from the Alexandria database: a relaxed ZrScAg crystal (PBE).

Values from the calculation:
Formation enthalpy at 0 K ... -0.2 eV per formula unit
Space-group type ... No. 8

Unit cell a=5.893 b=5.893 c=8.291 alpha=119.63 beta=119.63 gamma=31.76
Fractional coordinates of all 6 atoms:
Zr 0.000 0.000 0.000
Zr 0.557 0.557 0.724
Sc 0.291 0.291 0.091
Sc 0.727 0.727 0.383
Ag 0.004 0.004 0.386
Ag 0.276 0.276 0.708

=====

Entry 9:
Entry from the Alexandria database: a relaxed ZrScAg2 crystal (PBE).

Values from the calculation:
Formation enthalpy at 0 K ... -0.4 eV per formula unit
Space-group type ... No. 225

Unit cell a=4.872 b=4.872 c=4.872 alpha=60.00 beta=60.00 gamma=60.00
Fractional coordinates of all 4 atoms:
Zr 0.000 0.000 0.000
Sc 0.500 0.500 0.500
Ag 0.250 0.250 0.250
Ag 0.750 0.750 0.750

=====

Entry 10:
Entry from the Alexandria database: a relaxed Zr2ScAg crystal (PBE).

Values from the calculation:
Formation enthalpy at 0 K ... -0.4 eV per formula unit
Space-group type ... No. 51

Unit cell a=5.057 b=3.264 c=10.631 alpha=90.00 beta=90.00 gamma=90.00
Fractional coordinates of all 8 atoms:
Zr 0.250 0.000 0.094
Zr 0.250 0.500 0.834
Zr 0.750 0.000 0.906
Zr 0.750 0.500 0.166
Sc 0.250 0.500 0.360
Sc 0.750 0.500 0.640
Ag 0.250 0.000 0.595
Ag 0.750 0.000 0.405

=====

Entry 11:
Entry from the Alexandria database: a relaxed Zr2ScAg crystal (PBE).

Values from the calculation:
Formation enthalpy at 0 K ... 0.4 eV per formula unit
Space-group type ... No. 123

Unit cell a=5.123 b=5.123 c=3.272 alpha=90.00 beta=90.00 gamma=90.00
Fractional coordinates of all 4 atoms:
Zr 0.000 0.500 0.000
Zr 0.500 0.000 0.000
Sc 0.000 0.000 0.500
Ag 0.500 0.500 0.500

=====

Entry 12:
Entry from the Alexandria database: a relaxed Zr2ScAg crystal (PBE).

Values from the calculation:
Formation enthalpy at 0 K ... 0.6 eV per formula unit
Space-group type ... No. 225

Unit cell a=4.947 b=4.947 c=4.947 alpha=60.00 beta=60.00 gamma=60.00
Fractional coordinates of all 4 atoms:
Zr 0.250 0.250 0.250
Zr 0.750 0.750 0.750
Sc 0.000 0.000 0.000
Ag 0.500 0.500 0.500

=====

Entry 13:
Entry from the Alexandria database: a relaxed ZrSc2Ag crystal (PBE).

Values from the calculation:
Formation enthalpy at 0 K ... -0.3 eV per formula unit
Space-group type ... No. 99

Unit cell a=3.226 b=3.226 c=8.536 alpha=90.00 beta=90.00 gamma=90.00
Fractional coordinates of all 4 atoms:
Zr 0.000 0.000 0.000
Sc 0.000 0.000 0.464
Sc 0.500 0.500 0.749
Ag 0.500 0.500 0.242

=====

Entry 14:
Entry from the Alexandria database: a relaxed ZrSc2Ag crystal (PBE).

Values from the calculation:
Formation enthalpy at 0 K ... 0.0 eV per formula unit
Space-group type ... No. 65

Unit cell a=5.264 b=5.264 c=3.217 alpha=90.00 beta=90.00 gamma=101.74
Fractional coordinates of all 4 atoms:
Zr 0.000 0.000 0.000
Sc 0.000 0.500 0.500
Sc 0.500 0.000 0.500
Ag 0.500 0.500 0.000

=====

Entry 15:
Entry from the Alexandria database: a relaxed Zr2ScAg crystal (PBE).

Values from the calculation:
Formation enthalpy at 0 K ... 0.1 eV per formula unit
Space-group type ... No. 160

Unit cell a=10.360 b=10.360 c=10.360 alpha=17.49 beta=17.49 gamma=17.49
Fractional coordinates of all 4 atoms:
Zr 0.000 0.000 0.000
Zr 0.246 0.246 0.246
Sc 0.494 0.494 0.494
Ag 0.748 0.748 0.748

=====

Entry 16:
Entry from the Alexandria database: a relaxed ZrScAg crystal (PBE).

Values from the calculation:
Formation enthalpy at 0 K ... -0.3 eV per formula unit
Space-group type ... No. 63

Unit cell a=8.943 b=8.943 c=4.591 alpha=90.00 beta=90.00 gamma=159.33
Fractional coordinates of all 6 atoms:
Zr 0.214 0.786 0.750
Zr 0.786 0.214 0.250
Sc 0.394 0.606 0.750
Sc 0.606 0.394 0.250
Ag 0.046 0.954 0.750
Ag 0.954 0.046 0.250

=====

Entry 17:
Entry from the Alexandria database: a relaxed Zr2ScAg crystal (PBE).

Values from the calculation:
Formation enthalpy at 0 K ... 0.2 eV per formula unit
Space-group type ... No. 10

Unit cell a=3.096 b=5.380 c=5.259 alpha=90.00 beta=96.31 gamma=90.00
Fractional coordinates of all 4 atoms:
Zr 0.203 0.000 0.254
Zr 0.797 0.000 0.746
Sc 0.500 0.500 0.000
Ag 0.000 0.500 0.500

=====

Entry 18:
Entry from the Alexandria database: a relaxed Zr2ScAg crystal (PBE).

Values from the calculation:
Formation enthalpy at 0 K ... 0.3 eV per formula unit
Space-group type ... No. 160

Unit cell a=10.457 b=10.457 c=10.457 alpha=17.28 beta=17.28 gamma=17.28
Fractional coordinates of all 4 atoms:
Zr 0.000 0.000 0.000
Zr 0.172 0.172 0.172
Sc 0.419 0.419 0.419
Ag 0.586 0.586 0.586

=====

Entry 19:
Entry from the Alexandria database: a relaxed ZrSc2Ag2 crystal (PBE).

Values from the calculation:
Formation enthalpy at 0 K ... -0.5 eV per formula unit
Space-group type ... No. 127

Unit cell a=7.977 b=7.977 c=3.345 alpha=90.00 beta=90.00 gamma=90.00
Fractional coordinates of all 10 atoms:
Zr 0.000 0.000 0.000
Zr 0.500 0.500 0.000
Sc 0.170 0.330 0.500
Sc 0.330 0.830 0.500
Sc 0.670 0.170 0.500
Sc 0.830 0.670 0.500
Ag 0.128 0.628 0.000
Ag 0.372 0.128 0.000
Ag 0.628 0.872 0.000
Ag 0.872 0.372 0.000

=====

Entry 20:
Entry from the Alexandria database: a relaxed ZrSc2Ag crystal (PBE).

Values from the calculation:
Formation enthalpy at 0 K ... 0.9 eV per formula unit
Space-group type ... No. 122

Unit cell a=6.290 b=6.290 c=6.290 alpha=103.34 beta=103.34 gamma=122.59
Fractional coordinates of all 8 atoms:
Zr 0.000 0.000 0.000
Zr 0.750 0.250 0.500
Sc 0.160 0.625 0.035
Sc 0.375 0.410 0.535
Sc 0.590 0.125 0.965
Sc 0.875 0.840 0.465
Ag 0.250 0.750 0.500
Ag 0.500 0.500 0.000